[1]
VASP calculation (PBE) on a relaxed Re2IrBr crystal.

```
data_Re2IrBr
_chemical_formula_sum 'Re4 Ir2 Br2'
_cell_length_a 2.882
_cell_length_b 4.684
_cell_length_c 9.266
_cell_angle_alpha 90.00
_cell_angle_beta 90.00
_cell_angle_gamma 90.00
_space_group_name_H-M_alt 'I m m 2'
_space_group_IT_number 44
_space_group_name_Hall 'I 2 -2'
loop_
_atom_site_label
_atom_site_type_symbol
_atom_site_fract_x
_atom_site_fract_y
_atom_site_fract_z
Re1 Re 0.000 0.000 0.000
Re2 Re 0.000 0.500 0.253
Ir1 Ir 0.000 0.000 0.490
Br1 Br 0.000 0.500 0.736
```

[2]
VASP calculation (PBE) on a relaxed YSbPt4 crystal.

```
data_YSbPt4
_chemical_formula_sum 'Y2 Sb2 Pt8'
_cell_length_a 5.291
_cell_length_b 6.483
_cell_length_c 7.422
_cell_angle_alpha 90.21
_cell_angle_beta 109.51
_cell_angle_gamma 97.60
_space_group_name_H-M_alt 'P -1'
_space_group_IT_number 2
_space_group_name_Hall '-P 1'
loop_
_atom_site_label
_atom_site_type_symbol
_atom_site_fract_x
_atom_site_fract_y
_atom_site_fract_z
Y1 Y 0.097 0.248 0.459
Sb1 Sb 0.000 0.500 0.000
Sb2 Sb 0.500 0.000 0.000
Pt1 Pt 0.038 0.129 0.841
Pt2 Pt 0.332 0.628 0.364
Pt3 Pt 0.341 0.546 0.804
Pt4 Pt 0.482 0.926 0.661
```

[3]
VASP calculation (PBE) on a relaxed KIr2W crystal.

```
data_KIr2W
_chemical_formula_sum 'K1 Ir2 W1'
_cell_length_a 3.296
_cell_length_b 3.296
_cell_length_c 8.127
_cell_angle_alpha 90.00
_cell_angle_beta 90.00
_cell_angle_gamma 90.00
_space_group_name_H-M_alt 'P 4 m m'
_space_group_IT_number 99
_space_group_name_Hall 'P 4 -2'
loop_
_atom_site_label
_atom_site_type_symbol
_atom_site_fract_x
_atom_site_fract_y
_atom_site_fract_z
K1 K 0.000 0.000 0.000
Ir1 Ir 0.000 0.000 0.504
Ir2 Ir 0.500 0.500 0.690
W1 W 0.500 0.500 0.374
```

Properties
Calculated formation energy (eV/atom): 0.87

[4]
VASP calculation (PBE) on a relaxed MgHg2P crystal.

```
data_MgHg2P
_chemical_formula_sum 'Mg2 Hg4 P2'
_cell_length_a 4.372
_cell_length_b 4.372
_cell_length_c 8.726
_cell_angle_alpha 90.00
_cell_angle_beta 90.00
_cell_angle_gamma 90.00
_space_group_name_H-M_alt 'I -4 m 2'
_space_group_IT_number 119
_space_group_name_Hall 'I -4 -2'
loop_
_atom_site_label
_atom_site_type_symbol
_atom_site_fract_x
_atom_site_fract_y
_atom_site_fract_z
Mg1 Mg 0.000 0.000 0.000
Hg1 Hg 0.000 0.000 0.500
Hg2 Hg 0.000 0.500 0.250
P1 P 0.000 0.500 0.750
```

Properties
Calculated formation energy (eV/atom): 0.15

[5]
VASP calculation (PBE) on a relaxed ZrInSe2 crystal.

```
data_ZrInSe2
_chemical_formula_sum 'Zr1 In1 Se2'
_cell_length_a 3.491
_cell_length_b 4.833
_cell_length_c 5.026
_cell_angle_alpha 90.00
_cell_angle_beta 90.00
_cell_angle_gamma 90.00
_space_group_name_H-M_alt 'P m m m'
_space_group_IT_number 47
_space_group_name_Hall '-P 2 2'
loop_
_atom_site_label
_atom_site_type_symbol
_atom_site_fract_x
_atom_site_fract_y
_atom_site_fract_z
Zr1 Zr 0.000 0.000 0.000
In1 In 0.000 0.500 0.500
Se1 Se 0.500 0.000 0.500
Se2 Se 0.500 0.500 0.000
```

[6]
VASP calculation (PBE) on a relaxed CaMn2Rh crystal.

```
data_CaMn2Rh
_chemical_formula_sum 'Ca1 Mn2 Rh1'
_cell_length_a 3.188
_cell_length_b 3.188
_cell_length_c 7.026
_cell_angle_alpha 90.00
_cell_angle_beta 90.00
_cell_angle_gamma 90.00
_space_group_name_H-M_alt 'P 4 m m'
_space_group_IT_number 99
_space_group_name_Hall 'P 4 -2'
loop_
_atom_site_label
_atom_site_type_symbol
_atom_site_fract_x
_atom_site_fract_y
_atom_site_fract_z
Ca1 Ca 0.000 0.000 0.000
Mn1 Mn 0.000 0.000 0.516
Mn2 Mn 0.500 0.500 0.347
Rh1 Rh 0.500 0.500 0.720
```

Properties
Calculated formation energy (eV/atom): 0.07

Volume (computed, A^3/atom): 15.6; 19.8; 22.1; 20.8; 21.2; 17.8
Total energy (computed, eV for the cell shown): -62.86; -76.38; -28.29; -14.03; -20.10; -27.42